First-principles (PBE-GGA) data for a relaxed Na4SrP2 crystal, as listed in Alexandria.

extended XYZ file:
```
7
Lattice="2.244 -9.141 0.000 2.244 9.141 0.000 0.000 0.000 4.488" Properties=species:S:1:pos:R:3 pbc="T T T"
Na 2.244 6.127 0.000
Na 2.244 3.038 2.244
Na 2.244 -3.038 2.244
Na 2.244 -6.127 0.000
Sr 0.000 0.000 2.244
P 2.244 1.130 0.000
P 2.244 -1.130 0.000
```

Results
The total energy is -20.3 eV/cell. For the formation energy, the calculation gives -2.53 eV per formula unit. As for the density of states at the Fermi level: 1.9 states/eV/cell.

First-principles (PBE-GGA) data for a relaxed CsKSbAu crystal, as listed in Alexandria.

extended XYZ file:
```
4
Lattice="6.128 -2.494 0.000 6.128 2.494 0.000 -0.034 0.000 6.995" Properties=species:S:1:pos:R:3 pbc="T T T"
Cs 0.000 0.000 0.000
K 9.312 0.000 3.491
Sb 5.796 0.000 3.468
Au 0.591 0.000 3.504
```

Results
For the raw formation energy, the calculation gives -403 meV per atom. The total energy is -11.0 eV/cell. As for the density of states at the Fermi level: 0.4 states/eV/cell.